(1)
# PBE LiHg2As, optimized geometry
data_LiHg2As
_cell_length_a 3.631
_cell_length_b 4.001
_cell_length_c 5.750
_cell_angle_alpha 90.00
_cell_angle_beta 90.00
_cell_angle_gamma 90.00
_space_group_name_H-M_alt 'P m m m'
_space_group_IT_number 47
loop_
_space_group_symop_operation_xyz
'x,y,z'
'-x,-y,-z'
'-x,-y,z'
'x,y,-z'
'x,-y,-z'
'-x,y,z'
'-x,y,-z'
'x,-y,z'
loop_
_atom_site_label
_atom_site_type_symbol
_atom_site_fract_x
_atom_site_fract_y
_atom_site_fract_z
Li1 Li 0.000 0.000 0.000
Hg1 Hg 0.500 0.500 0.246
As1 As 0.000 0.000 0.500
# * size of the total moment: 0.0 μB per formula unit
# * ΔE_f: -0.0866 eV per atom
# * raw total energy: -1.878 eV/atom
# * theoretical density: 9.604 g/cm³

***

(2)
# PBE Li3Hg3As, optimized geometry
data_Li3Hg3As
_cell_length_a 9.287
_cell_length_b 8.686
_cell_length_c 6.825
_cell_angle_alpha 90.00
_cell_angle_beta 91.30
_cell_angle_gamma 90.00
_space_group_name_H-M_alt 'C 1 2/m 1'
_space_group_IT_number 12
loop_
_space_group_symop_operation_xyz
'x,y,z'
'-x,-y,-z'
'-x,y,-z'
'x,-y,z'
'x+1/2,y+1/2,z'
'-x+1/2,-y+1/2,-z'
'-x+1/2,y+1/2,-z'
'x+1/2,-y+1/2,z'
loop_
_atom_site_label
_atom_site_type_symbol
_atom_site_fract_x
_atom_site_fract_y
_atom_site_fract_z
Li1 Li 0.014 0.000 0.215
Li2 Li 0.248 0.272 0.776
Hg1 Hg 0.000 0.273 0.500
Hg2 Hg 0.000 0.300 0.000
Hg3 Hg 0.241 0.000 0.525
As1 As 0.248 0.000 0.965
# * size of the total moment: 0.0 μB per formula unit
# * ΔE_f: -0.3343 eV per atom
# * raw total energy: -1.948 eV/atom
# * theoretical density: 8.418 g/cm³

***

(3)
# PBE LiHg2As, optimized geometry
data_LiHg2As
_cell_length_a 4.313
_cell_length_b 4.332
_cell_length_c 8.792
_cell_angle_alpha 90.00
_cell_angle_beta 90.00
_cell_angle_gamma 90.00
_space_group_name_H-M_alt 'C m m m'
_space_group_IT_number 65
_space_group_name_Hall '-C 2 2'
loop_
_atom_site_label
_atom_site_type_symbol
_atom_site_fract_x
_atom_site_fract_y
_atom_site_fract_z
Li1 Li 0.000 0.000 0.000
Hg1 Hg 0.000 0.500 0.220
As1 As 0.000 0.000 0.500
# * size of the total moment: 0.0 μB per formula unit
# * ΔE_f: -0.0497 eV per atom
# * raw total energy: -1.841 eV/atom
# * theoretical density: 9.765 g/cm³

***

(4)
# PBE Li6HgAs2, optimized geometry
data_Li6HgAs2
_cell_length_a 7.5318
_cell_length_b 7.5318
_cell_length_c 2.9144
_cell_angle_alpha 90.00
_cell_angle_beta 90.00
_cell_angle_gamma 120.00
_space_group_name_H-M_alt 'P 6/m m m'
_space_group_IT_number 191
_space_group_name_Hall '-P 6 2'
loop_
_atom_site_label
_atom_site_type_symbol
_atom_site_fract_x
_atom_site_fract_y
_atom_site_fract_z
Li1 Li 0.0000 0.3425 0.0000
Hg1 Hg 0.0000 0.0000 0.5000
As1 As 0.3333 0.6667 0.5000
# * size of the total moment: 0.0 μB per formula unit
# * ΔE_f: -0.4490 eV per atom
# * raw total energy: -2.792 eV/atom
# * theoretical density: 4.547 g/cm³

***

(5)
# PBE LiHg2As, optimized geometry
data_LiHg2As
_cell_length_a 4.335
_cell_length_b 4.335
_cell_length_c 19.214
_cell_angle_alpha 90.00
_cell_angle_beta 90.00
_cell_angle_gamma 90.00
_space_group_name_H-M_alt 'I -4 2 d'
_space_group_IT_number 122
_space_group_name_Hall 'I -4 2bw'
loop_
_atom_site_label
_atom_site_type_symbol
_atom_site_fract_x
_atom_site_fract_y
_atom_site_fract_z
Li1 Li 0.000 0.000 0.000
Hg1 Hg 0.243 0.250 0.125
As1 As 0.000 0.000 0.500
# * size of the total moment: 0.0 μB per formula unit
# * ΔE_f: -0.0533 eV per atom
# * raw total energy: -1.845 eV/atom
# * theoretical density: 8.888 g/cm³

***

(6)
# PBE LiHg2As, optimized geometry
data_LiHg2As
_cell_length_a 4.244
_cell_length_b 4.249
_cell_length_c 9.253
_cell_angle_alpha 90.00
_cell_angle_beta 90.00
_cell_angle_gamma 90.00
_space_group_name_H-M_alt 'I m m 2'
_space_group_IT_number 44
loop_
_space_group_symop_operation_xyz
'x,y,z'
'-x,-y,z'
'-x,y,z'
'x,-y,z'
'x+1/2,y+1/2,z+1/2'
'-x+1/2,-y+1/2,z+1/2'
'-x+1/2,y+1/2,z+1/2'
'x+1/2,-y+1/2,z+1/2'
loop_
_atom_site_label
_atom_site_type_symbol
_atom_site_fract_x
_atom_site_fract_y
_atom_site_fract_z
Li1 Li 0.000 0.000 0.000
Hg1 Hg 0.000 0.000 0.500
Hg2 Hg 0.000 0.500 0.250
As1 As 0.000 0.500 0.749
# * size of the total moment: 0.0 μB per formula unit
# * ΔE_f: -0.0767 eV per atom
# * raw total energy: -1.868 eV/atom
# * theoretical density: 9.613 g/cm³

***

(7)
# PBE LiHgAs3, optimized geometry
data_LiHgAs3
_cell_length_a 4.686
_cell_length_b 4.686
_cell_length_c 4.686
_cell_angle_alpha 90.00
_cell_angle_beta 90.00
_cell_angle_gamma 90.00
_space_group_name_H-M_alt 'P m -3 m'
_space_group_IT_number 221
_space_group_name_Hall '-P 4 2 3'
loop_
_atom_site_label
_atom_site_type_symbol
_atom_site_fract_x
_atom_site_fract_y
_atom_site_fract_z
Li1 Li 0.000 0.000 0.000
Hg1 Hg 0.500 0.500 0.500
As1 As 0.000 0.000 0.500
# * size of the total moment: 0.0 μB per formula unit
# * ΔE_f: 0.4764 eV per atom
# * raw total energy: -2.756 eV/atom
# * theoretical density: 6.975 g/cm³
# * excess energy over the best structure of this formula in the dataset: 0.00 eV per formula unit

***

(8)
# PBE Li2Hg2As, optimized geometry
data_Li2Hg2As
_cell_length_a 6.739
_cell_length_b 6.739
_cell_length_c 4.346
_cell_angle_alpha 90.00
_cell_angle_beta 90.00
_cell_angle_gamma 90.00
_space_group_name_H-M_alt 'P 4/m b m'
_space_group_IT_number 127
_space_group_name_Hall '-P 4 2ab'
loop_
_atom_site_label
_atom_site_type_symbol
_atom_site_fract_x
_atom_site_fract_y
_atom_site_fract_z
Li1 Li 0.153 0.347 0.000
Hg1 Hg 0.155 0.655 0.500
As1 As 0.000 0.000 0.000
# * size of the total moment: 0.0 μB per formula unit
# * ΔE_f: -0.2146 eV per atom
# * raw total energy: -2.031 eV/atom
# * theoretical density: 8.247 g/cm³
# * excess energy over the best structure of this formula in the dataset: 0.50 eV per formula unit

***

(9)
# PBE Li8Hg2As, optimized geometry
data_Li8Hg2As
_cell_length_a 14.421
_cell_length_b 4.261
_cell_length_c 6.172
_cell_angle_alpha 90.00
_cell_angle_beta 104.03
_cell_angle_gamma 90.00
_space_group_name_H-M_alt 'C 1 2/m 1'
_space_group_IT_number 12
loop_
_space_group_symop_operation_xyz
'x,y,z'
'-x,-y,-z'
'-x,y,-z'
'x,-y,z'
'x+1/2,y+1/2,z'
'-x+1/2,-y+1/2,-z'
'-x+1/2,y+1/2,-z'
'x+1/2,-y+1/2,z'
loop_
_atom_site_label
_atom_site_type_symbol
_atom_site_fract_x
_atom_site_fract_y
_atom_site_fract_z
Li1 Li 0.030 0.000 0.260
Li2 Li 0.095 0.500 0.919
Li3 Li 0.150 0.000 0.673
Li4 Li 0.167 0.500 0.403
Hg1 Hg 0.204 0.000 0.146
As1 As 0.000 0.500 0.500
# * size of the total moment: 0.0 μB per formula unit
# * ΔE_f: -0.3960 eV per atom
# * raw total energy: -2.265 eV/atom
# * theoretical density: 4.798 g/cm³

***

(10)
# PBE LiHgAs4, optimized geometry
data_LiHgAs4
_cell_length_a 8.003
_cell_length_b 8.003
_cell_length_c 8.003
_cell_angle_alpha 90.00
_cell_angle_beta 90.00
_cell_angle_gamma 90.00
_space_group_name_H-M_alt 'F -4 3 m'
_space_group_IT_number 216
_space_group_name_Hall 'F -4 2 3'
loop_
_atom_site_label
_atom_site_type_symbol
_atom_site_fract_x
_atom_site_fract_y
_atom_site_fract_z
Li1 Li 0.000 0.000 0.000
Hg1 Hg 0.250 0.250 0.250
As1 As 0.122 0.122 0.622
# * size of the total moment: 0.0 μB per formula unit
# * ΔE_f: 0.1068 eV per atom
# * raw total energy: -3.362 eV/atom
# * theoretical density: 6.572 g/cm³

***

(11)
# PBE LiHg2As, optimized geometry
data_LiHg2As
_cell_length_a 8.729
_cell_length_b 3.160
_cell_length_c 6.345
_cell_angle_alpha 90.00
_cell_angle_beta 95.38
_cell_angle_gamma 90.00
_space_group_name_H-M_alt 'C 1 m 1'
_space_group_IT_number 8
loop_
_space_group_symop_operation_xyz
'x,y,z'
'x,-y,z'
'x+1/2,y+1/2,z'
'x+1/2,-y+1/2,z'
loop_
_atom_site_label
_atom_site_type_symbol
_atom_site_fract_x
_atom_site_fract_y
_atom_site_fract_z
Li1 Li 0.000 0.000 0.000
Hg1 Hg 0.229 0.500 0.263
Hg2 Hg 0.493 0.000 0.554
As1 As 0.273 0.000 0.854
# * size of the total moment: 0.0 μB per formula unit
# * ΔE_f: -0.0909 eV per atom
# * raw total energy: -1.883 eV/atom
# * theoretical density: 9.208 g/cm³

***

(12)
# PBE Li2Hg2As, optimized geometry
data_Li2Hg2As
_cell_length_a 7.793
_cell_length_b 7.793
_cell_length_c 3.197
_cell_angle_alpha 90.00
_cell_angle_beta 90.00
_cell_angle_gamma 90.00
_space_group_name_H-M_alt 'P 4/m b m'
_space_group_IT_number 127
_space_group_name_Hall '-P 4 2ab'
loop_
_atom_site_label
_atom_site_type_symbol
_atom_site_fract_x
_atom_site_fract_y
_atom_site_fract_z
Li1 Li 0.164 0.336 0.000
Hg1 Hg 0.135 0.635 0.500
As1 As 0.000 0.000 0.500
# * size of the total moment: 0.0 μB per formula unit
# * ΔE_f: -0.2123 eV per atom
# * raw total energy: -2.028 eV/atom
# * theoretical density: 8.381 g/cm³
# * excess energy over the best structure of this formula in the dataset: 0.51 eV per formula unit